Nb2OsCl | Alexandria via LeMat-Bulk | PBE-GGA | optimized geometry; ΔE to the lowest computed polymorph = 0.0 meV/atom; SG = Fm-3m, No. 225; formation energy (no corrections) = 0.39 eV/atom
1.0
6.439 0.000 0.000
0.000 6.439 0.000
0.000 0.000 6.439
Nb Os Cl
8 4 4
Direct
0.250 0.250 0.250 Nb
0.250 0.250 0.750 Nb
0.250 0.750 0.250 Nb
0.250 0.750 0.750 Nb
0.750 0.250 0.250 Nb
0.750 0.250 0.750 Nb
0.750 0.750 0.250 Nb
0.750 0.750 0.750 Nb
0.000 0.000 0.000 Os
0.000 0.500 0.500 Os
0.500 0.000 0.500 Os
0.500 0.500 0.000 Os
0.000 0.000 0.500 Cl
0.000 0.500 0.000 Cl
0.500 0.000 0.000 Cl
0.500 0.500 0.500 Cl